No. 1
An optimized crystal structure of HoSbO. Source: Alexandria, functional PBE.

extended XYZ file:
```
6
Lattice="3.774 0.000 0.000 -1.887 3.268 0.000 0.000 0.000 10.244" Properties=species:S:1:pos:R:3 pbc="T T T"
Ho 0.000 2.179 3.674
Ho 1.887 1.089 6.570
Sb 0.000 2.179 9.214
Sb 1.887 1.089 1.030
O 0.000 2.179 5.980
O 1.887 1.089 4.264
```

Summary:
* energy above the lowest structure with this stoichiometry: 0.005 eV/atom
* E_form (uncorrected): -5.89 eV/f.u.
* calculated density: 7.96 g/cm³
* D(E_F): 0.892 states/eV/f.u.



No. 2
An optimized crystal structure of UGePdO6. Source: Alexandria, functional PBE.

extended XYZ file:
```
18
Lattice="5.332 0.000 0.000 -2.666 4.617 0.000 0.000 0.000 9.211" Properties=species:S:1:pos:R:3 pbc="T T T"
U 0.000 3.078 2.303
U 2.666 1.539 6.908
Ge 0.000 3.078 6.908
Ge 2.666 1.539 2.303
Pd 0.000 0.000 0.000
Pd 0.000 0.000 4.605
O -0.847 1.693 5.855
O -1.623 3.037 7.961
O 0.847 1.693 7.961
O -0.776 4.505 5.855
O 1.890 0.113 1.249
O 1.043 1.580 3.356
O 1.623 3.037 5.855
O 0.776 4.505 7.961
O 3.442 0.113 3.356
O 1.819 2.925 1.249
O 4.289 1.580 1.249
O 3.513 2.925 3.356
```

Summary:
* E_form (uncorrected): -15.75 eV/f.u.
* calculated density: 7.51 g/cm³
* D(E_F): 0.470 states/eV/f.u.



No. 3
An optimized crystal structure of SmNpBr6. Source: Alexandria, functional PBE.

extended XYZ file:
```
16
Lattice="7.215 0.000 0.000 0.000 13.134 0.000 -2.056 0.000 6.822" Properties=species:S:1:pos:R:3 pbc="T T T"
Sm 0.000 0.000 0.000
Sm 3.607 6.567 0.000
Np -1.028 6.567 3.411
Np 2.579 0.000 3.411
Br 1.262 1.945 1.704
Br 1.262 11.188 1.704
Br 0.260 0.000 5.126
Br 1.291 6.567 1.696
Br 0.289 4.622 5.118
Br 0.289 8.512 5.118
Br 4.869 4.622 1.704
Br 4.869 8.512 1.704
Br 4.899 0.000 1.696
Br 3.867 6.567 5.126
Br 3.897 1.945 5.118
Br 3.897 11.188 5.118
```

Summary:
* E_form (uncorrected): -12.53 eV/f.u.
* calculated density: 4.45 g/cm³
* D(E_F): 4.396 states/eV/f.u.